FePt3S | PBE | relaxed

Unit cell a=4.600 b=4.600 c=4.600 alpha=90.00 beta=90.00 gamma=90.00
Site moments in Bohr magnetons follow the coordinates.
Atoms (fractional coordinates):
S1 0.500 0.500 0.500  0.12
Fe1 0.000 0.000 0.000  2.65
Pt1 0.000 0.500 0.000  0.37
Pt2 0.000 0.000 0.500  0.51
Pt3 0.500 0.000 0.000  0.18

Symmetry: No. 221
Uncorrected formation energy in meV/atom: 1206
Final energy in eV per atom: -4.94


FePtS2 | PBE | relaxed

Unit cell a=4.317 b=4.317 c=4.317 alpha=60.00 beta=60.00 gamma=60.00
Site moments in Bohr magnetons follow the coordinates.
Atoms (fractional coordinates):
S1 0.250 0.250 0.250  -0.07
S2 0.750 0.750 0.750  -0.07
Fe1 0.000 0.000 0.000  2.63
Pt1 0.500 0.500 0.500  -0.14

Symmetry: No. 225
Uncorrected formation energy in meV/atom: 316
Final energy in eV per atom: -5.37


FePtS2 | PBE | relaxed

Unit cell a=5.248 b=5.248 c=6.242 alpha=65.14 beta=65.14 gamma=90.00
Atoms (fractional coordinates):
S1 0.588 0.125 0.250
S2 0.162 0.625 0.250
S3 0.375 0.412 0.750
S4 0.875 0.838 0.750
Fe1 0.500 0.500 0.000
Fe2 0.250 0.750 0.500
Pt1 0.000 0.000 0.000
Pt2 0.750 0.250 0.500

Symmetry: No. 122
Uncorrected formation energy in meV/atom: -162
Final energy in eV per atom: -5.85


FeTePtS2 | PBE | relaxed

Unit cell a=4.125 b=5.843 c=4.125 alpha=90.00 beta=90.00 gamma=90.00
Atoms (fractional coordinates):
S1 0.000 0.000 0.500
S2 0.500 0.000 0.000
Te1 0.000 0.500 0.000
Fe1 0.000 0.000 0.000
Pt1 0.500 0.500 0.500

Symmetry: No. 123
Uncorrected formation energy in meV/atom: 435
Final energy in eV per atom: -4.74


Th4FePtS2 | PBE | relaxed

Unit cell a=4.063 b=7.382 c=7.011 alpha=72.75 beta=90.00 gamma=90.00
Atoms (fractional coordinates):
Th1 0.000 0.727 0.766
Th2 0.000 0.273 0.234
Th3 0.500 0.730 0.235
Th4 0.500 0.270 0.765
Fe1 0.500 0.500 0.000
Pt1 0.000 0.500 0.500
S1 0.000 0.000 0.000
S2 0.500 0.000 0.500

Symmetry: No. 10
Uncorrected formation energy in meV/atom: -1138
Final energy in eV per atom: -7.69


YFe2PtS | PBE | relaxed

Unit cell a=4.777 b=4.777 c=4.902 alpha=90.00 beta=90.00 gamma=90.00
Site moments in Bohr magnetons follow the coordinates.
Atoms (fractional coordinates):
Y1 0.000 0.000 0.000  -0.33
S1 0.000 0.000 0.500  0.14
Fe1 0.000 0.500 0.000  2.62
Fe2 0.500 0.000 0.000  2.62
Pt1 0.500 0.500 0.500  0.12

Symmetry: No. 123
Uncorrected formation energy in meV/atom: 1445
Final energy in eV per atom: -5.27